Entry 1:
A geometry-optimized K2TaMn structure. Source: Alexandria, functional PBE.

Summary:
- energy of formation from the pure elements (meV/atom) = 1280
- energy above the lowest structure with this stoichiometry (meV per atom) = 544.7
- V (Å³/f.u.) = 103.8
- total magnetic moment (μB per atom) = 0.954

Unit cell a=3.0819 b=3.0819 c=37.8428 alpha=90.00 beta=90.00 gamma=120.00
Space group R-3m (No. 166, hexagonal axes)
Inequivalent atoms, fractional coordinates:
K1 0.0000 0.0000 0.2489 x6
Ta1 0.0000 0.0000 0.0000 x3
Mn1 0.0000 0.0000 0.5000 x3

---

Entry 2:
A geometry-optimized Na5B7C3 structure. Source: Alexandria, functional PBE.

Summary:
- energy of formation from the pure elements (meV/atom) = 148
- energy above the lowest structure with this stoichiometry (meV per atom) = 35.4
- V (Å³/f.u.) = 155.6
- total magnetic moment (μB per atom) = 0.002

Unit cell a=5.164 b=7.450 c=9.067 alpha=106.80 beta=90.04 gamma=110.27
Space group P-1 (No. 2)
Inequivalent atoms, fractional coordinates:
Na1 0.000 0.000 0.000 x1
Na2 0.097 0.200 0.499 x2
Na3 0.197 0.400 0.001 x2
Na4 0.300 0.601 0.501 x2
Na5 0.399 0.800 0.999 x2
Na6 0.500 0.000 0.500 x1
B1 0.071 0.501 0.750 x2
B2 0.131 0.901 0.250 x2
B3 0.203 0.106 0.750 x2
B4 0.296 0.895 0.751 x2
B5 0.298 0.294 0.250 x2
B6 0.396 0.493 0.749 x2
B7 0.483 0.700 0.251 x2
C1 0.013 0.703 0.750 x2
C2 0.189 0.700 0.250 x2
C3 0.390 0.103 0.249 x2